Entry 1:
# Tb4Y4Ni13 | OQMD via LeMat-Bulk | PBE | optimized geometry
data_Tb4Y4Ni13
_chemical_formula_sum 'Tb8 Y8 Ni26'
_cell_length_a 11.867
_cell_length_b 15.177
_cell_length_c 4.671
_cell_angle_alpha 90.00
_cell_angle_beta 90.00
_cell_angle_gamma 90.00
_space_group_name_H-M_alt 'C m m m'
_space_group_IT_number 65
_space_group_name_Hall '-C 2 2'
loop_
_atom_site_label
_atom_site_fract_x
_atom_site_fract_y
_atom_site_fract_z
_atom_site_occupancy
Tb1 0.000 0.198 0.000 1
Tb2 0.250 0.250 0.000 1
Y1 0.000 0.357 0.500 1
Y2 0.171 0.000 0.500 1
Ni1 0.000 0.500 0.000 1
Ni2 0.113 0.500 0.500 1
Ni3 0.136 0.077 0.000 1
Ni4 0.166 0.418 0.000 1
Ni5 0.250 0.250 0.500 1
# **Formation energy**: 5.416 kcal/mol of atoms
# **Size of the total moment**: 0.01 μB per cell
# **V**: 841.22 Å³/cell



Entry 2:
# TbYNi | OQMD via LeMat-Bulk | PBE | optimized geometry
data_TbYNi
_chemical_formula_sum 'Tb3 Y3 Ni3'
_cell_length_a 7.2163
_cell_length_b 7.2163
_cell_length_c 4.6503
_cell_angle_alpha 90.00
_cell_angle_beta 90.00
_cell_angle_gamma 120.00
_space_group_name_H-M_alt 'P -6 2 m'
_space_group_IT_number 189
_space_group_name_Hall 'P -6 -2'
loop_
_atom_site_label
_atom_site_fract_x
_atom_site_fract_y
_atom_site_fract_z
_atom_site_occupancy
Tb1 0.0000 0.7332 0.0000 1
Y1 0.0000 0.4045 0.5000 1
Ni1 0.0000 0.0000 0.5000 1
Ni2 0.3333 0.6667 0.0000 1
# **Formation energy**: -5.576 kcal/mol of atoms
# **Size of the total moment**: 0.02 μB per cell
# **Energy above the lowest structure with this stoichiometry**: 0.0000 eV per atom
# **V**: 209.75 Å³/cell



Entry 3:
# Tb2YNi9 | OQMD via LeMat-Bulk | PBE | optimized geometry
data_Tb2YNi9
_chemical_formula_sum 'Tb6 Y3 Ni27'
_cell_length_a 4.9415
_cell_length_b 4.9415
_cell_length_c 24.3432
_cell_angle_alpha 90.00
_cell_angle_beta 90.00
_cell_angle_gamma 120.00
_space_group_name_H-M_alt 'R -3 m'
_space_group_IT_number 166
_space_group_name_Hall '-R 3 2"'
loop_
_atom_site_label
_atom_site_fract_x
_atom_site_fract_y
_atom_site_fract_z
_atom_site_occupancy
Tb1 0.0000 0.0000 0.1389 1
Y1 0.0000 0.0000 0.0000 1
Ni1 0.0000 0.0000 0.3331 1
Ni2 0.0000 0.0000 0.5000 1
Ni3 0.0000 0.5000 0.0819 1
# **Formation energy**: -9.300 kcal/mol of atoms
# **Size of the total moment**: 1.86 μB per cell
# **V**: 514.79 Å³/cell



Entry 4:
# TbY2Ni9 | OQMD via LeMat-Bulk | PBE | optimized geometry
data_TbY2Ni9
_chemical_formula_sum 'Tb3 Y6 Ni27'
_cell_length_a 4.9546
_cell_length_b 4.9546
_cell_length_c 24.3605
_cell_angle_alpha 90.00
_cell_angle_beta 90.00
_cell_angle_gamma 120.00
_space_group_name_H-M_alt 'R -3 m'
_space_group_IT_number 166
_space_group_name_Hall '-R 3 2"'
loop_
_atom_site_label
_atom_site_fract_x
_atom_site_fract_y
_atom_site_fract_z
_atom_site_occupancy
Tb1 0.0000 0.0000 0.0000 1
Y1 0.0000 0.0000 0.1391 1
Ni1 0.0000 0.0000 0.3330 1
Ni2 0.0000 0.0000 0.5000 1
Ni3 0.0007 0.5004 0.9181 1
# **Formation energy**: -9.274 kcal/mol of atoms
# **Size of the total moment**: 1.93 μB per cell
# **V**: 517.88 Å³/cell



Entry 5:
# Tb2Zn5Ni5 | OQMD via LeMat-Bulk | PBE | optimized geometry
data_Tb2Zn5Ni5
_chemical_formula_sum 'Tb2 Zn5 Ni5'
_cell_length_a 4.059
_cell_length_b 5.104
_cell_length_c 8.760
_cell_angle_alpha 90.00
_cell_angle_beta 90.00
_cell_angle_gamma 90.00
_space_group_name_H-M_alt 'P m m m'
_space_group_IT_number 47
_space_group_name_Hall '-P 2 2'
loop_
_atom_site_label
_atom_site_fract_x
_atom_site_fract_y
_atom_site_fract_z
_atom_site_occupancy
Tb1 0.000 0.000 0.000 1
Tb2 0.000 0.500 0.500 1
Zn1 0.500 0.000 0.500 1
Zn2 0.500 0.252 0.244 1
Ni1 0.000 0.000 0.333 1
Ni2 0.000 0.500 0.161 1
Ni3 0.500 0.500 0.000 1
# **Formation energy**: -9.257 kcal/mol of atoms
# **Size of the total moment**: 0.00 μB per cell
# **V**: 181.48 Å³/cell



Entry 6:
# TbZnNi | OQMD via LeMat-Bulk | PBE | optimized geometry
data_TbZnNi
_chemical_formula_sum 'Tb3 Zn3 Ni3'
_cell_length_a 6.8359
_cell_length_b 6.8359
_cell_length_c 3.9872
_cell_angle_alpha 90.00
_cell_angle_beta 90.00
_cell_angle_gamma 120.00
_space_group_name_H-M_alt 'P -6 2 m'
_space_group_IT_number 189
_space_group_name_Hall 'P -6 -2'
loop_
_atom_site_label
_atom_site_fract_x
_atom_site_fract_y
_atom_site_fract_z
_atom_site_occupancy
Tb1 0.0000 0.5878 0.0000 1
Zn1 0.0000 0.0000 0.0000 1
Zn2 0.3333 0.6667 0.5000 1
Ni1 0.0000 0.2320 0.5000 1
# **Formation energy**: -6.519 kcal/mol of atoms
# **Size of the total moment**: 0.00 μB per cell
# **Energy above the lowest structure with this stoichiometry**: 0.1732 eV per atom
# **V**: 161.36 Å³/cell